Li4GaSiAu2: optimized geometry, GGA-PBE.

Its crystal system is tetragonal. The energy comes out at -26.51 eV/cell. The density comes out at 7.47 g cm⁻³.

The space group is P-4m2 (No. 115) and the conventional cell measures 4.3382, 4.3382 and 6.1351 Å, with angles of 90.00, 90.00 and 90.00 degrees. Symmetry generates all atoms from Li at (0.0000, 0.0000, 0.0000), Li at (0.0000, 0.5000, 0.7459), Li at (0.5000, 0.5000, 0.5000), Ga at (0.5000, 0.5000, 0.0000), Si at (0.0000, 0.0000, 0.5000) and Au at (0.0000, 0.5000, 0.2628).

***

Dy3Er4Te2Ir2: optimized geometry, GGA-PBE.

Its crystal system is orthorhombic. The energy comes out at -132.59 eV/cell. As for the total magnetization: 0.026 μB per cell. The density comes out at 10.32 g cm⁻³. The value obtained for the relative energy among the computed polymorphs is 0 meV/atom.

The space group is Imm2 (No. 44) and the conventional cell measures 3.9290, 15.6663 and 9.3948 Å, with angles of 90.00, 90.00 and 90.00 degrees. Symmetry generates all atoms from Dy at (0.0000, 0.0000, 0.0000), Dy at (0.0000, 0.3533, 0.7331), Er at (0.0000, 0.1319, 0.5833), Er at (0.0000, 0.3155, 0.3724), Te at (0.0000, 0.0000, 0.3386), Te at (0.0000, 0.5000, 0.2358) and Ir at (0.0000, 0.2386, 0.0711).

***

AgSb2Te: optimized geometry, GGA-PBE.

Its crystal system is cubic. The energy comes out at -52.88 eV/cell. The density comes out at 7.74 g cm⁻³.

The space group is F-43m (No. 216) and the conventional cell measures 7.4350, 7.4350 and 7.4350 Å, with angles of 90.00, 90.00 and 90.00 degrees. Symmetry generates all atoms from Ag at (0.0000, 0.0000, 0.0000), Sb at (0.0000, 0.0000, 0.5000), Sb at (0.2500, 0.2500, 0.2500) and Te at (0.2500, 0.2500, 0.7500).

***

Ag2Pt3Au: optimized geometry, GGA-PBE.

Its crystal system is trigonal. The energy comes out at -27.19 eV/cell. As for the total magnetization: 0.002 μB per cell. The density comes out at 16.84 g cm⁻³.

The space group is P-3m1 (No. 164) and the conventional cell measures 2.8229, 2.8229 and 14.2619 Å, with angles of 90.00, 90.00 and 120.00 degrees. Symmetry generates all atoms from Ag at (0.3333, 0.6667, 0.1657), Pt at (0.0000, 0.0000, 0.0000), Pt at (0.3333, 0.6667, 0.6685) and Au at (0.0000, 0.0000, 0.5000).

***

PmAlZn: optimized geometry, GGA-PBE.

Its crystal system is cubic. The energy comes out at -43.07 eV/cell. As for the total magnetization: 0.000 μB per cell. The density comes out at 5.61 g cm⁻³. The value obtained for the relative energy among the computed polymorphs is 101 meV/atom.

The space group is F-43m (No. 216) and the conventional cell measures 6.5521, 6.5521 and 6.5521 Å, with angles of 90.00, 90.00 and 90.00 degrees. Symmetry generates all atoms from Pm at (0.0000, 0.0000, 0.0000), Al at (0.0000, 0.0000, 0.5000) and Zn at (0.2500, 0.2500, 0.7500).

***

NaAlPd: optimized geometry, GGA-PBE.

Its crystal system is cubic. The energy comes out at -42.29 eV/cell. The density comes out at 4.27 g cm⁻³.

The space group is F-43m (No. 216) and the conventional cell measures 6.2425, 6.2425 and 6.2425 Å, with angles of 90.00, 90.00 and 90.00 degrees. Symmetry generates all atoms from Na at (0.0000, 0.0000, 0.0000), Al at (0.0000, 0.0000, 0.5000) and Pd at (0.2500, 0.2500, 0.7500).

***

Li4MgIn2Ag: optimized geometry, GGA-PBE.

Its crystal system is tetragonal. The energy comes out at -19.58 eV/cell. The density comes out at 4.45 g cm⁻³.

The space group is P-4m2 (No. 115) and the conventional cell measures 4.6726, 4.6726 and 6.6614 Å, with angles of 90.00, 90.00 and 90.00 degrees. Symmetry generates all atoms from Li at (0.0000, 0.0000, 0.0000), Li at (0.0000, 0.5000, 0.2305), Li at (0.5000, 0.5000, 0.5000), Mg at (0.0000, 0.0000, 0.5000), In at (0.0000, 0.5000, 0.7582) and Ag at (0.5000, 0.5000, 0.0000).

***

CsAgPbSeS2: optimized geometry, GGA-PBE.

Its crystal system is orthorhombic. The energy comes out at -85.48 eV/cell. The density comes out at 5.33 g cm⁻³.

The space group is Cmcm (No. 63) and the conventional cell measures 4.0499, 16.0090 and 11.3618 Å, with angles of 90.00, 90.00 and 90.00 degrees. Symmetry generates all atoms from Cs at (0.0000, 0.2444, 0.2500), Ag at (0.0000, 0.0564, 0.7500), Pb at (0.0000, 0.5000, 0.0000), Se at (0.0000, 0.4464, 0.7500) and S at (0.0000, 0.1163, 0.5474).

***

LiZnNiSb: optimized geometry, GGA-PBE.

Its crystal system is cubic. The energy comes out at -53.14 eV/cell. As for the total magnetization: 0.024 μB per cell. The density comes out at 6.69 g cm⁻³. The value obtained for the relative energy among the computed polymorphs is 148 meV/atom.

The space group is F-43m (No. 216) and the conventional cell measures 6.3066, 6.3066 and 6.3066 Å, with angles of 90.00, 90.00 and 90.00 degrees. Symmetry generates all atoms from Li at (0.0000, 0.0000, 0.0000), Zn at (0.2500, 0.2500, 0.7500), Ni at (0.2500, 0.2500, 0.2500) and Sb at (0.0000, 0.0000, 0.5000).

***

AcCoHg: optimized geometry, GGA-PBE.

Its crystal system is cubic. The energy comes out at -38.64 eV/cell. As for the total magnetization: 4.028 μB per cell. The density comes out at 8.55 g cm⁻³. The value obtained for the relative energy among the computed polymorphs is 583 meV/atom.

The space group is F-43m (No. 216) and the conventional cell measures 7.2288, 7.2288 and 7.2288 Å, with angles of 90.00, 90.00 and 90.00 degrees. Symmetry generates all atoms from Ac at (0.0000, 0.0000, 0.0000), Co at (0.2500, 0.2500, 0.7500) and Hg at (0.2500, 0.2500, 0.2500).

***

LuBeHgAu: optimized geometry, GGA-PBE.

Its crystal system is cubic. The energy comes out at -49.09 eV/cell. As for the total magnetization: 0.002 μB per cell. The density comes out at 13.08 g cm⁻³. The value obtained for the relative energy among the computed polymorphs is 108 meV/atom.

The space group is F-43m (No. 216) and the conventional cell measures 6.6599, 6.6599 and 6.6599 Å, with angles of 90.00, 90.00 and 90.00 degrees. Symmetry generates all atoms from Lu at (0.0000, 0.0000, 0.0000), Be at (0.2500, 0.2500, 0.7500), Hg at (0.2500, 0.2500, 0.2500) and Au at (0.0000, 0.0000, 0.5000).

***

CsKInAu3: optimized geometry, GGA-PBE.

Its crystal system is orthorhombic. The energy comes out at -32.90 eV/cell. The density comes out at 7.96 g cm⁻³. The value obtained for the relative energy among the computed polymorphs is 0 meV/atom.

The space group is Pmma (No. 51) and the conventional cell measures 5.7504, 7.0025 and 9.0994 Å, with angles of 90.00, 90.00 and 90.00 degrees. Symmetry generates all atoms from Cs at (0.2500, 0.0000, 0.1343), K at (0.2500, 0.5000, 0.3681), In at (0.2500, 0.0000, 0.5739), Au at (0.0000, 0.5000, 0.0000) and Au at (0.2500, 0.2968, 0.7714).